Here is a relaxed structure of Y2TlPt from Alexandria. Energies are from PBE.

a b c (Å): 3.5926 4.8037 11.8350
angles (deg): 90.00 90.00 90.00
Closest atoms and distances in Å follow each position.
Positions (direct):
Y 0.0000 0.0000 0.0000  4 Pt 3.01, 2 Tl 3.31
Y 0.0000 0.5000 0.2129  2 Pt 2.91, 4 Tl 3.20
Y 0.5000 0.0000 0.7129  2 Pt 2.91, 4 Tl 3.20
Y 0.5000 0.5000 0.5000  4 Pt 3.01, 2 Tl 3.31
Tl 0.0000 0.5000 0.8077  2 Pt 3.08, 6 Y 3.20-3.31
Tl 0.5000 0.0000 0.3077  2 Pt 3.08, 6 Y 3.20-3.31
Pt 0.0000 0.0000 0.5193  6 Y 2.91-3.01, 2 Tl 3.08
Pt 0.5000 0.5000 0.0193  6 Y 2.91-3.01, 2 Tl 3.08

Values from the calculation:
* size of the total moment: 0.00 μB/f.u.
* D(E_F): 6.33 states/eV per cell
* energy relative to the lowest polymorph listed for this composition: 130 meV per atom
* energy of formation: -667 meV per atom